Computed, not measured: a relaxed structure of ZrAlPt2 at the PBE level of DFT.

Cell and atoms, written as CIF:
```
data_ZrAlPt2
_chemical_formula_sum 'Zr2 Al2 Pt4'
_cell_length_a 4.5344
_cell_length_b 4.5344
_cell_length_c 8.2464
_cell_angle_alpha 90.00
_cell_angle_beta 90.00
_cell_angle_gamma 120.00
_symmetry_space_group_name_H-M 'P 63/m m c'
_symmetry_Int_Tables_number 194
_symmetry_space_group_name_Hall '-P 6c 2c'
loop_
_atom_site_label
_atom_site_type_symbol
_atom_site_fract_x
_atom_site_fract_y
_atom_site_fract_z
Zr1 Zr 0.3333 0.6667 0.2500
Al1 Al 0.0000 0.0000 0.2500
Pt1 Pt 0.3333 0.6667 0.5833
```

Computed properties:
Fermi-level density of states in states/eV/cell: 4.59
Calculated density in g/cm³: 11.5
Uncorrected energy in eV/atom: -6.494